Entry 1:
18
Lattice="-0.977 -3.906 2.824 -1.405 0.040 -4.712 9.056 -4.243 -2.736" Properties=species:S:1:pos:R:3 comment="NaPIrO6, relaxed, DFT GGA-PBE" space_group=P-31c pbc="T T T"
O 2.446 -3.977 0.707
O 5.347 -2.901 -3.537
O 4.228 -4.132 -5.332
O 6.713 -3.697 -5.246
O 1.327 -5.207 -1.087
O 2.242 -2.979 -1.517
O 0.971 -2.185 0.515
O 4.432 -5.130 -3.108
O 6.754 -4.961 -3.151
O 5.703 -5.923 -5.140
O -0.039 -4.411 0.621
O -0.080 -3.148 -1.474
P 1.144 -3.651 -0.372
P 5.530 -4.457 -4.253
Ir 5.672 -5.773 -1.741
Ir 1.002 -2.336 -2.884
Na 4.528 -2.121 -1.368
Na 0.000 0.000 0.000



Entry 2:
20
Lattice="-8.773 -4.507 0.635 4.987 -6.042 1.362 1.549 7.305 3.555" Properties=species:S:1:pos:R:3 comment="Tl7H12I, relaxed, DFT GGA-PBE" space_group=P-1 pbc="T T T"
H 0.861 0.736 3.212
H -3.099 -3.980 2.341
H -1.013 1.806 1.964
H -0.777 -5.095 2.975
H -3.371 -4.685 2.291
H -4.889 -2.882 3.749
H 1.133 1.442 3.262
H -1.225 -5.049 3.589
H -1.461 1.851 2.577
H 2.651 -0.362 1.804
H -5.123 -2.670 3.058
H 2.885 -0.574 2.494
Tl -3.397 0.280 4.165
Tl 1.360 -6.814 2.211
Tl -3.598 3.570 3.342
Tl 1.159 -3.524 1.387
Tl -1.119 -1.622 2.776
Tl -2.245 -7.591 2.427
Tl 0.008 4.347 3.125
I 0.000 0.000 0.000



Entry 3:
16
Lattice="-3.665 -6.096 2.849 7.637 -1.112 0.478 0.040 3.754 8.085" Properties=species:S:1:pos:R:3 comment="Ce4GaTe3, relaxed, DFT GGA-PBE" space_group=P2/c pbc="T T T"
Ce 5.773 0.489 3.349
Ce 5.873 2.463 7.504
Ce 3.951 -1.559 6.927
Ce 0.060 -1.895 4.485
Ce 0.002 0.006 8.674
Ce -1.861 -5.917 3.908
Ce -1.761 -3.943 8.063
Ce 4.010 -3.460 2.738
Te -2.734 -3.164 5.169
Te 2.937 1.205 8.026
Te 1.095 -2.781 7.430
Te 2.917 -0.673 3.982
Te -0.891 0.822 5.764
Te 1.075 -4.659 3.386
Ga -2.714 -1.297 9.189
Ga -0.911 -1.045 1.745



Entry 4:
6
Lattice="3.428 -0.107 -0.893 -0.399 4.507 -2.080 -0.248 0.036 6.089" Properties=species:S:1:pos:R:3 comment="Pu3CO2, relaxed, DFT GGA-PBE" space_group=Immm pbc="T T T"
Pu 2.356 3.689 1.578
Pu 0.424 0.748 1.539
Pu 1.514 2.200 -1.486
O 2.572 1.463 2.675
O 0.208 2.973 0.442
C 1.714 -0.053 -0.447



We obtain ρ values of 5234, 6946, 6761, 13852 kg/m³ for the records listed above, in that order.
We obtain final energy values of -6.360, -2.844, -5.633, -12.052 eV/atom for the records listed above, in that order.
We obtain size of the total moment values of 2.23, 0.00, 7.79, 15.23 Bohr magnetons per cell for the records listed above, in that order.